[1]
Compound: Ta4VW
Source: Alexandria
Functional: PBE
Structure: optimized geometry

Lattice parameters (Å, degrees): 4.3927 4.3929 6.1811 90.00 90.00 90.00
Last column: nearest neighbours and their distance in Å.
Element x y z (fractional)
W (0.0013, 0.9973, 0.4981)  8 Ta 2.71
Ta (0.0013, 0.4974, 0.7550)  2 V 2.66, 2 W 2.71
Ta (0.0012, 0.4972, 0.2413)  2 V 2.66, 2 W 2.71
Ta (0.5013, 0.9974, 0.7550)  2 V 2.66, 2 W 2.71
Ta (0.5013, 0.9972, 0.2413)  2 V 2.66, 2 W 2.71
V (0.5013, 0.4973, 0.9981)  8 Ta 2.66

## Properties
Energy above the lowest structure with this stoichiometry ... 0.385 eV per atom
Energy of formation from the pure elements ... 0.70 eV per atom

[2]
Compound: YZnIr2F
Source: Alexandria
Functional: PBE
Structure: optimized geometry

Lattice parameters (Å, degrees): 4.7443 4.0963 4.7443 90.00 90.00 90.00
Last column: nearest neighbours and their distance in Å.
Element x y z (fractional)
Ir (0.0000, 0.0000, 0.5000)  2 Zn 2.37
Ir (0.5000, 0.0000, 0.0000)  2 Zn 2.37
F (0.0000, 0.5000, 0.0000)  2 Zn 2.05
Y (0.5000, 0.5000, 0.5000)  8 Ir 3.13, 4 F 3.35
Zn (0.0000, 0.0000, 0.0000)  2 F 2.05

## Properties
E_tot ... -5.546 eV/atom

[3]
Compound: Sc2CrOs
Source: Alexandria
Functional: PBE
Structure: optimized geometry

Lattice parameters (Å, degrees): 5.3516 5.3516 5.3516 137.00 137.00 62.44
Last column: nearest neighbours and their distance in Å.
Element x y z (fractional)
Sc (0.0000, 0.0000, 0.0000)  4 Cr 2.77, 4 Os 3.01, 4 Sc 3.01
Sc (0.2500, 0.7500, 0.5000)  4 Os 2.77, 4 Sc 3.01, 4 Cr 3.01
Os (0.7500, 0.2500, 0.5000)  8 Sc 2.77-3.01, 4 Cr 3.01
Cr (0.5000, 0.5000, 0.0000)  8 Sc 2.77-3.01, 4 Os 3.01

## Properties
Energy above the lowest structure with this stoichiometry ... 0.250 eV per atom
Energy of formation from the pure elements ... 0.11 eV per atom

[4]
Compound: MgInW2
Source: Alexandria
Functional: PBE
Structure: optimized geometry

Lattice parameters (Å, degrees): 4.4956 2.8518 5.7147 78.42 90.00 90.00
Last column: nearest neighbours and their distance in Å.
Element x y z (fractional)
W (0.0000, 0.0343, 0.0108)  4 W 2.65-2.85, 2 Mg 2.86, 2 In 2.90-2.96
W (0.5000, 0.1991, 0.2258)  4 W 2.65-2.85, 1 Mg 2.80
Mg (0.5000, 0.7518, 0.7621)  4 W 2.80-3.07, 2 Mg 2.85, 2 In 2.85
In (0.0000, 0.5148, 0.5013)  2 In 2.85, 2 Mg 2.85, 6 W 2.90-3.18

## Properties
Energy above the lowest structure with this stoichiometry ... 0.086 eV per atom
Energy of formation from the pure elements ... 0.39 eV per atom

[5]
Compound: TbErCuGe
Source: Alexandria
Functional: PBE
Structure: optimized geometry

Lattice parameters (Å, degrees): 4.9573 4.9573 4.9573 60.00 60.00 60.00
Last column: nearest neighbours and their distance in Å.
Element x y z (fractional)
Ge (0.2500, 0.2500, 0.2500)  4 Er 3.04, 4 Tb 3.04
Cu (0.7500, 0.7500, 0.7500)  4 Tb 3.04, 4 Er 3.04
Tb (0.0000, 0.0000, 0.0000)  4 Ge 3.04, 4 Cu 3.04
Er (0.5000, 0.5000, 0.5000)  4 Cu 3.04, 4 Ge 3.04

## Properties
Energy of formation from the pure elements ... -0.50 eV per atom

[6]
Compound: CaSiHg2Pb
Source: Alexandria
Functional: PBE
Structure: optimized geometry

Lattice parameters (Å, degrees): 5.1160 5.5729 5.1160 90.00 90.00 90.00
Last column: nearest neighbours and their distance in Å.
Element x y z (fractional)
Si (0.0000, 0.0000, 0.0000)  4 Hg 2.56, 2 Ca 2.79
Pb (0.5000, 0.5000, 0.5000)  4 Ca 3.62, 8 Hg 3.78
Ca (0.0000, 0.5000, 0.0000)  2 Si 2.79
Hg (0.5000, 0.0000, 0.0000)  2 Si 2.56
Hg (0.0000, 0.0000, 0.5000)  2 Si 2.56

## Properties
E_tot ... -2.230 eV/atom

[7]
Compound: Tb6Dy2Tm3Pu
Source: Alexandria
Functional: PBE
Structure: optimized geometry

Lattice parameters (Å, degrees): 6.1123 6.1123 11.6414 95.03 95.03 120.01
Last column: nearest neighbours and their distance in Å.
Element x y z (fractional)
Tb (0.7530, 0.7530, 0.2498)  6 Tb 3.49-3.55, 1 Pu 3.50, 3 Tm 3.51-3.53, 2 Dy 3.52
Tb (0.4129, 0.0830, 0.2498)  6 Tb 3.49-3.55, 1 Pu 3.50, 3 Tm 3.51-3.53, 2 Dy 3.52
Tb (0.0830, 0.4129, 0.2498)  6 Tb 3.49-3.55, 1 Pu 3.50, 3 Tm 3.51-3.53, 2 Dy 3.52
Tb (0.2470, 0.2470, 0.7502)  6 Tb 3.49-3.55, 1 Pu 3.50, 3 Tm 3.51-3.53, 2 Dy 3.52
Tb (0.5871, 0.9170, 0.7502)  6 Tb 3.49-3.55, 1 Pu 3.50, 3 Tm 3.51-3.53, 2 Dy 3.52
Tb (0.9170, 0.5871, 0.7502)  6 Tb 3.49-3.55, 1 Pu 3.50, 3 Tm 3.51-3.53, 2 Dy 3.52
Pu (0.0000, 0.0000, 0.0000)  6 Tb 3.50, 6 Dy 3.53
Tm (0.1671, 0.8329, 0.5000)  6 Tb 3.51-3.53, 6 Tm 3.52-3.54
Tm (0.5000, 0.5000, 0.5000)  6 Tb 3.51-3.53, 6 Tm 3.52-3.53
Tm (0.8329, 0.1671, 0.5000)  6 Tb 3.51-3.53, 6 Tm 3.52-3.54
Dy (0.3335, 0.6665, 0.0000)  6 Tb 3.52, 3 Dy 3.53, 3 Pu 3.53
Dy (0.6665, 0.3335, 0.0000)  6 Tb 3.52, 3 Dy 3.53, 3 Pu 3.53

## Properties
Energy of formation from the pure elements ... 0.04 eV per atom

[8]
Compound: ZrCuW2
Source: Alexandria
Functional: PBE
Structure: optimized geometry

Lattice parameters (Å, degrees): 2.7423 2.7423 8.8032 90.00 90.00 90.00
Last column: nearest neighbours and their distance in Å.
Element x y z (fractional)
Zr (0.0000, 0.0000, 0.5162)  4 Zr 2.74, 4 Cu 2.93
Cu (0.5000, 0.5000, 0.7654)  4 W 2.71, 4 Cu 2.74, 4 Zr 2.93
W (0.5000, 0.5000, 0.2387)  8 W 2.74-2.99
W (0.0000, 0.0000, 0.9797)  4 Cu 2.71, 8 W 2.74-2.99

## Properties
Energy above the lowest structure with this stoichiometry ... 0.153 eV per atom
Energy of formation from the pure elements ... 0.28 eV per atom

[9]
Compound: Sm6RuSe5
Source: Alexandria
Functional: PBE
Structure: optimized geometry

Lattice parameters (Å, degrees): 7.2475 7.2953 7.2835 59.95 80.43 70.60
Last column: nearest neighbours and their distance in Å.
Element x y z (fractional)
Sm (0.7640, 0.3915, 0.6868)  1 Ru 2.80, 5 Se 2.97-3.08
Sm (0.2360, 0.6085, 0.3132)  1 Ru 2.80, 5 Se 2.97-3.08
Sm (0.2380, 0.2316, 0.0000)  1 Ru 2.79, 4 Se 2.99-3.03
Sm (0.7620, 0.7684, 0.0000)  1 Ru 2.79, 4 Se 2.99-3.03
Sm (0.2360, 0.9217, 0.6868)  1 Ru 2.80, 5 Se 2.97-3.08
Sm (0.7640, 0.0783, 0.3132)  1 Ru 2.80, 5 Se 2.97-3.08
Se (0.0000, 0.3345, 0.3309)  6 Sm 2.98-2.99
Se (0.0000, 0.6655, 0.6691)  6 Sm 2.98-2.99
Se (0.5000, 0.8254, 0.3491)  6 Sm 2.97-3.08
Se (0.5000, 0.5000, 0.0000)  6 Sm 2.97-3.15
Se (0.5000, 0.1746, 0.6509)  6 Sm 2.97-3.08
Ru (0.0000, 0.0000, 0.0000)  6 Sm 2.79-2.80

## Properties
E_tot ... -6.140 eV/atom

[10]
Compound: Co4NiCl
Source: Alexandria
Functional: PBE
Structure: optimized geometry

Lattice parameters (Å, degrees): 4.7985 4.7985 4.7985 60.00 60.00 60.00
Last column: nearest neighbours and their distance in Å.
Element x y z (fractional)
Co (0.3760, 0.3760, 0.8721)  6 Co 2.38-2.42
Co (0.3760, 0.8721, 0.3760)  6 Co 2.38-2.42
Co (0.8721, 0.3760, 0.3760)  6 Co 2.38-2.42
Co (0.3760, 0.3760, 0.3760)  6 Co 2.38-2.42
Ni (0.7500, 0.7500, 0.7500)  12 Co 2.81, 4 Cl 2.94
Cl (0.0000, 0.0000, 0.0000)  12 Co 2.82, 4 Ni 2.94

## Properties
E_tot ... -5.343 eV/atom

[11]
Compound: LiNp2CdO8
Source: Alexandria
Functional: PBE
Structure: optimized geometry

Lattice parameters (Å, degrees): 4.8943 4.8943 6.9588 89.09 89.09 87.65
Last column: nearest neighbours and their distance in Å.
Element x y z (fractional)
Li (0.0000, 0.0000, 0.0000)  6 O 2.26-2.27
O (0.3211, 0.3210, 0.4924)  2 Np 2.11-2.24, 1 Cd 2.27
O (0.6789, 0.6790, 0.5076)  2 Np 2.11-2.24, 1 Cd 2.27
O (0.3210, 0.3209, 0.9920)  2 Np 2.06-2.20, 1 Li 2.27
O (0.2196, 0.7803, 0.2435)  1 Np 1.90
O (0.6790, 0.6791, 0.0080)  2 Np 2.06-2.20, 1 Li 2.27
O (0.7805, 0.2197, 0.2435)  1 Np 1.90
O (0.7804, 0.2197, 0.7565)  1 Np 1.90
O (0.2195, 0.7803, 0.7565)  1 Np 1.90
Cd (0.0000, 0.0000, 0.5000)  6 O 2.27-2.32
Np (0.4992, 0.4993, 0.7539)  4 O 1.90-2.11
Np (0.5008, 0.5007, 0.2461)  4 O 1.90-2.11

## Properties
E_tot ... -8.018 eV/atom

[12]
Compound: NdTl3As2O6
Source: Alexandria
Functional: PBE
Structure: optimized geometry

Lattice parameters (Å, degrees): 6.1207 6.1207 7.3760 90.00 90.00 120.00
Last column: nearest neighbours and their distance in Å.
Element x y z (fractional)
Tl (0.0000, 0.0000, 0.0000)  6 O 3.02
Tl (0.3333, 0.6667, 0.6735)  9 O 3.07-3.09
Tl (0.6667, 0.3333, 0.3265)  9 O 3.07-3.09
As (0.6667, 0.3333, 0.7978)  3 O 1.80
As (0.3333, 0.6667, 0.2022)  3 O 1.80
Nd (0.0000, 0.0000, 0.5000)  6 O 2.37
O (0.1826, 0.3653, 0.3146)  1 As 1.80
O (0.8174, 0.6347, 0.6854)  1 As 1.80
O (0.3653, 0.1826, 0.6854)  1 As 1.80
O (0.6347, 0.8174, 0.3146)  1 As 1.80
O (0.1826, 0.8174, 0.3146)  1 As 1.80
O (0.8174, 0.1826, 0.6854)  1 As 1.80

## Properties
E_tot ... -5.775 eV/atom